[1]
DFT (PBE) results for AgSnO3 after structural relaxation.

Computed properties:
E_form (uncorrected), eV/atom: -0.056

The structure in CIF format:
```
data_AgSnO3
_cell_length_a 4.037
_cell_length_b 4.037
_cell_length_c 4.037
_cell_angle_alpha 90.00
_cell_angle_beta 90.00
_cell_angle_gamma 90.00
_symmetry_space_group_name_H-M 'P m -3 m'
_symmetry_Int_Tables_number 221
_symmetry_space_group_name_Hall '-P 4 2 3'
loop_
_atom_site_label
_atom_site_fract_x
_atom_site_fract_y
_atom_site_fract_z
_atom_site_occupancy
Ag1 0.000 0.000 0.000 1
Sn1 0.500 0.500 0.500 1
O1 0.000 0.000 0.500 1
```


[2]
DFT (PBE) results for Nd2PuHg after structural relaxation.

Computed properties:
Offset from the most stable computed form, eV per formula unit: 0.30

The structure in CIF format:
```
data_Nd2PuHg
_cell_length_a 3.6722
_cell_length_b 3.6722
_cell_length_c 31.8128
_cell_angle_alpha 90.00
_cell_angle_beta 90.00
_cell_angle_gamma 120.00
_symmetry_space_group_name_H-M 'R 3 m'
_symmetry_Int_Tables_number 160
_symmetry_space_group_name_Hall 'R 3 -2"'
loop_
_atom_site_label
_atom_site_fract_x
_atom_site_fract_y
_atom_site_fract_z
_atom_site_occupancy
Nd1 0.0000 0.0000 0.0000 1
Nd2 0.0000 0.0000 0.1754 1
Pu1 0.0000 0.0000 0.4203 1
Hg1 0.0000 0.0000 0.5879 1
```